# 1
Below is crystalline Nd2Ni3Sn4Au at its relaxed geometry, with properties calculated at the GGA-PBE level.

The formation enthalpy at 0 K is -5.40 eV per formula unit. As for the density: 8.9 Mg/m³.

It has space group P-4m2 (No. 115), with a = 4.5036 Å, b = 4.5036 Å, c = 10.4141 Å, α = 90.00°, β = 90.00° and γ = 90.00°. The inequivalent atoms are Nd at (0.0000, 0.5000, 0.2474), Ni at (0.0000, 0.0000, 0.0000), Ni at (0.0000, 0.5000, 0.6186), Sn at (0.0000, 0.0000, 0.5000), Sn at (0.0000, 0.5000, 0.8572), Sn at (0.5000, 0.5000, 0.5000) and Au at (0.5000, 0.5000, 0.0000).



# 2
Below is crystalline KCeNbSnO6 at its relaxed geometry, with properties calculated at the GGA-PBE level.

As for the density: 5.3 Mg/m³. As for the formation energy without anion corrections: -2334.8 meV/atom.

It has space group P4_2/mmc (No. 131), with a = 6.0180 Å, b = 6.0180 Å, c = 8.4736 Å, α = 90.00°, β = 90.00° and γ = 90.00°. The inequivalent atoms are K at (0.0000, 0.0000, 0.2500), Ce at (0.0000, 0.5000, 0.0000), Nb at (0.0000, 0.5000, 0.5000), Sn at (0.5000, 0.5000, 0.2500), O at (0.0000, 0.5000, 0.2631) and O at (0.2456, 0.2713, 0.5000).



# 3
Below is crystalline SrPtW at its relaxed geometry, with properties calculated at the GGA-PBE level.

The formation enthalpy at 0 K is 0.26 eV per formula unit. As for the density: 9.9 Mg/m³.

It has space group Pm (No. 6), with a = 5.6553 Å, b = 3.5206 Å, c = 7.9838 Å, α = 90.00°, β = 99.62° and γ = 90.00°. The inequivalent atoms are Sr at (0.0000, 0.0000, 0.0000), Sr at (0.4224, 0.0000, 0.6435), Pt at (0.2636, 0.5000, 0.3282), Pt at (0.5250, 0.5000, 0.9790), W at (0.5511, 0.0000, 0.2297) and W at (0.8308, 0.5000, 0.3776).



# 4
Below is crystalline PmMgInSn at its relaxed geometry, with properties calculated at the GGA-PBE level.

The formation enthalpy at 0 K is -1.20 eV per formula unit. As for the density: 6.3 Mg/m³.

It has space group F-43m (No. 216), with a = 7.5033 Å, b = 7.5033 Å, c = 7.5033 Å, α = 90.00°, β = 90.00° and γ = 90.00°. The inequivalent atoms are Pm at (0.0000, 0.0000, 0.0000), Mg at (0.0000, 0.0000, 0.5000), In at (0.2500, 0.2500, 0.7500) and Sn at (0.2500, 0.2500, 0.2500).